Compound: LaSc3
Source: Alexandria via LeMat-Bulk
Functional: GGA-PBEsol
Structure: optimized geometry

```
LaSc3
1.0
-4.123 3.214 0.765
-4.185 -0.261 -3.214
-4.577 -1.952 1.776
Sc La
3 1
Direct
0.750 0.750 0.750
0.250 0.250 0.250
0.500 0.500 0.500
0.000 0.000 0.000
```

## Properties
The formation energy is 9.8 kJ/mol of atoms. The total moment comes out at 0.00 μB/f.u.

---

Compound: LaSc7
Source: Alexandria via LeMat-Bulk
Functional: GGA-PBEsol
Structure: optimized geometry

```
LaSc7
1.0
-6.032 -0.693 -2.365
-3.656 -5.072 1.834
-5.149 0.930 3.883
Sc La
7 1
Direct
0.000 0.500 0.000
0.000 0.000 0.500
0.000 0.500 0.500
0.500 0.500 0.500
0.500 0.000 0.500
0.500 0.000 0.000
0.500 0.500 0.000
0.000 0.000 0.000
```

## Properties
The formation energy is 5.7 kJ/mol of atoms. The total moment comes out at 0.01 μB/f.u.

---

Compound: LaSc3
Source: Alexandria via LeMat-Bulk
Functional: GGA-PBEsol
Structure: optimized geometry

```
LaSc3
1.0
-1.320 -1.449 2.689
5.166 -1.786 1.573
0.504 5.587 1.200
La Sc
1 3
Direct
0.000 0.000 0.000
0.752 0.254 0.505
0.248 0.746 0.495
0.500 0.500 0.000
```

## Properties
The formation energy is 6.0 kJ/mol of atoms. The total moment comes out at 0.00 μB/f.u.

---

Compound: LaSc
Source: Alexandria via LeMat-Bulk
Functional: GGA-PBEsol
Structure: optimized geometry

```
LaSc
1.0
3.737 0.000 0.000
0.000 5.541 0.000
-1.869 -2.771 5.551
Sc La
2 2
Direct
0.638 0.388 0.276
0.362 0.612 0.724
0.115 0.865 0.230
0.885 0.135 0.770
```

## Properties
As for the distance to the lowest polymorph of the same formula: 0.082 eV per formula unit. The formation energy is 8.6 kJ/mol of atoms. The total moment comes out at 0.00 μB/f.u.

---

Compound: LaSc
Source: Alexandria via LeMat-Bulk
Functional: GGA-PBEsol
Structure: optimized geometry

```
LaSc
1.0
3.429 0.000 0.000
-1.714 2.969 0.000
0.000 0.000 11.214
La Sc
2 2
Direct
0.667 0.333 0.145
0.333 0.667 0.855
0.333 0.667 0.391
0.667 0.333 0.609
```

## Properties
As for the distance to the lowest polymorph of the same formula: 0.046 eV per formula unit. The formation energy is 6.8 kJ/mol of atoms. The total moment comes out at 0.00 μB/f.u.

---

Compound: LaSc3
Source: Alexandria via LeMat-Bulk
Functional: GGA-PBEsol
Structure: optimized geometry

```
LaSc3
1.0
-2.446 -2.116 -0.932
1.856 -0.669 2.727
-6.915 5.342 6.017
Sc La
3 1
Direct
0.000 0.000 0.500
0.667 0.333 0.733
0.667 0.333 0.267
0.000 0.000 0.000
```

## Properties
The formation energy is 6.1 kJ/mol of atoms. The total moment comes out at 0.00 μB/f.u.

---

Compound: LaSc3
Source: Alexandria via LeMat-Bulk
Functional: GGA-PBEsol
Structure: optimized geometry

```
LaSc3
1.0
3.760 0.000 0.000
0.000 3.760 0.000
0.000 0.000 7.421
Sc La
3 1
Direct
0.500 0.500 0.721
0.500 0.500 0.279
0.000 0.000 0.500
0.000 0.000 0.000
```

## Properties
The formation energy is 7.4 kJ/mol of atoms. The total moment comes out at 0.00 μB/f.u.

---

Compound: LaSc
Source: Alexandria via LeMat-Bulk
Functional: GGA-PBEsol
Structure: optimized geometry

```
LaSc
1.0
3.448 0.000 0.000
1.724 2.986 0.000
1.724 0.995 5.413
La Sc
1 1
Direct
0.000 0.000 0.000
0.500 0.500 0.500
```

## Properties
As for the distance to the lowest polymorph of the same formula: 0.014 eV per formula unit. The formation energy is 5.3 kJ/mol of atoms. The total moment comes out at 0.00 μB/f.u.